[1]
The following is a DFT calculation (GGA-PBE) of crystalline SrLiTl at its relaxed geometry.

Energy relative to the elements: 0.201 eV per atom
ρ: 4.296 g/cm3
Excess energy over the best structure of this formula in the dataset: 0.487 eV per atom
Total moment: 0.00 μB per formula unit

abc: 7.732 7.732 7.732
angles: 90.00 90.00 90.00
Space group F-43m (No. 216)
Unique sites:
Sr (0.000, 0.000, 0.000) [4 per cell]
Li (0.250, 0.250, 0.750) [4 per cell]
Tl (0.250, 0.250, 0.250) [4 per cell]

---

[2]
The following is a DFT calculation (GGA-PBE) of crystalline ReRuBr2 at its relaxed geometry.

Formation energy from raw total energies: 0.723 eV per atom
ρ: 7.334 g/cm3
Excess energy over the best structure of this formula in the dataset: 0.453 eV per atom
Total moment: 0.00 μB per formula unit

abc: 9.037 3.354 7.130
angles: 90.00 110.47 90.00
Space group Cm (No. 8)
Unique sites:
Re (0.000, 0.000, 0.000) [2 per cell]
Ru (0.316, 0.000, 0.000) [2 per cell]
Br (0.059, 0.500, 0.736) [2 per cell]
Br (0.204, 0.500, 0.264) [2 per cell]